Record 1
8
Lattice="-2.041 2.041 10.527 2.041 -2.041 10.527 2.041 2.041 -10.527" Properties=species:S:1:pos:R:3 comment="Li2CaFe, relaxed, DFT PBE-GGA" total_energy_ev_per_atom=-3.033 de_polymorph_mev_per_atom=188.7 spacegroup=I-42d delta_e_f_mev_per_atom=540 pbc="T T T"
Li 1.020 0.840 -2.632
Li 1.201 -1.020 13.159
Li 1.020 1.201 7.895
Li 0.840 3.061 2.632
Ca 2.041 0.000 5.264
Ca 0.000 0.000 10.527
Fe 0.000 0.000 0.000
Fe 0.000 2.041 5.264

=====

Record 2
5
Lattice="5.500 0.000 0.000 0.000 5.500 0.000 0.000 0.000 5.625" Properties=species:S:1:pos:R:3 comment="YGeSbI2, relaxed, DFT PBE-GGA" formation_energy_uncorrected_ev_per_atom=0.085 total_energy_ev_per_atom=-3.576 de_polymorph_mev_per_atom=73.1 spacegroup=P4/mmm pbc="T T T"
Y 0.000 0.000 0.000
Ge 2.750 2.750 2.813
Sb 2.750 2.750 0.000
I 0.000 2.750 2.813
I 2.750 0.000 2.813

=====

Record 3
6
Lattice="4.431 -2.120 0.000 4.431 2.120 0.000 -2.902 0.000 4.162" Properties=species:S:1:pos:R:3 comment="MnV4Ga, relaxed, DFT PBE-GGA" total_energy_ev_per_atom=-8.226 de_polymorph_mev_per_atom=0.0 spacegroup=C2/m delta_e_f_mev_per_atom=-114 pbc="T T T"
Mn 0.000 0.000 0.000
V 2.375 0.000 0.610
V 1.103 0.000 2.794
V 4.858 0.000 1.369
V 3.586 0.000 3.552
Ga -1.451 0.000 2.081

=====

Record 4
20
Lattice="-6.094 7.242 3.588 6.094 -7.242 3.588 6.094 7.242 -3.588" Properties=species:S:1:pos:R:3 comment="Tl2In3Sn5, relaxed, DFT PBE-GGA" total_energy_ev_per_atom=-3.232 de_polymorph_mev_per_atom=30.7 spacegroup=Ibam delta_e_f_mev_per_atom=64 pbc="T T T"
Tl 3.005 1.758 0.000
Tl 3.005 -1.758 3.588
Tl 3.089 9.000 0.000
Tl 3.089 5.484 3.588
In 10.548 1.805 0.000
In 6.094 0.000 1.794
In 4.454 5.437 0.000
In 1.640 1.805 3.588
In 0.000 7.242 1.794
In -4.454 5.437 3.588
Sn 6.094 3.645 -1.794
Sn 7.709 1.797 0.000
Sn 0.000 0.000 1.794
Sn 1.616 5.445 0.000
Sn 0.000 3.596 1.794
Sn 6.094 3.645 1.794
Sn 4.478 1.797 3.588
Sn 0.000 0.000 5.382
Sn -1.616 5.445 3.588
Sn 0.000 3.596 5.382

=====

Record 5
6
Lattice="6.321 -2.280 0.000 6.321 2.280 0.000 -3.835 0.000 7.611" Properties=species:S:1:pos:R:3 comment="TePb, relaxed, DFT PBE-GGA" formation_energy_uncorrected_ev_per_atom=-0.328 total_energy_ev_per_atom=-3.753 spacegroup=Cm pbc="T T T"
Te 0.000 0.000 0.000
Te 5.504 0.000 5.437
Te 8.955 0.000 2.690
Pb -0.665 0.000 3.303
Pb 3.001 0.000 0.541
Pb 2.457 0.000 5.490

=====

Record 6
5
Lattice="4.453 0.000 0.000 0.000 4.453 0.000 0.000 0.000 3.979" Properties=species:S:1:pos:R:3 comment="TiNb2InO, relaxed, DFT PBE-GGA" formation_energy_uncorrected_ev_per_atom=-0.816 total_energy_ev_per_atom=-7.962 spacegroup=P4/mmm pbc="T T T"
Ti 0.000 0.000 0.000
Nb 0.000 2.226 1.990
Nb 2.226 0.000 1.990
In 2.226 2.226 0.000
O 0.000 0.000 1.990

=====

Record 7
6
Lattice="4.622 -2.158 0.000 4.622 2.158 0.000 -3.048 0.000 4.371" Properties=species:S:1:pos:R:3 comment="VRuW, relaxed, DFT PBE-GGA" total_energy_ev_per_atom=-10.501 de_polymorph_mev_per_atom=44.9 spacegroup=Cm delta_e_f_mev_per_atom=-52 pbc="T T T"
V 0.000 0.000 0.000
V 3.652 0.000 3.610
Ru 2.515 0.000 0.685
Ru 5.238 0.000 1.441
W -1.452 0.000 2.189
W 1.140 0.000 2.974

=====

Record 8
10
Lattice="7.766 0.000 0.000 0.000 4.251 0.000 -2.765 0.000 7.285" Properties=species:S:1:pos:R:3 comment="Th2IrPdAu, relaxed, DFT PBE-GGA" total_energy_ev_per_atom=-7.178 spacegroup=P2_1/m delta_e_f_mev_per_atom=-744 pbc="T T T"
Th 0.255 1.063 2.708
Th -0.471 1.063 7.017
Th 5.472 3.189 0.268
Th 4.746 3.189 4.577
Ir 0.608 3.189 0.786
Ir 4.393 1.063 6.499
Pd 2.967 3.189 2.093
Pd 2.034 1.063 5.192
Au 0.159 3.189 4.904
Au 4.842 1.063 2.381

=====

Record 9
4
Lattice="0.000 3.635 3.635 3.635 0.000 3.635 3.635 3.635 0.000" Properties=species:S:1:pos:R:3 comment="TlPb2O, relaxed, DFT PBE-GGA" formation_energy_uncorrected_ev_per_atom=0.180 total_energy_ev_per_atom=-3.506 de_polymorph_mev_per_atom=382.0 spacegroup=Fm-3m pbc="T T T"
Tl 0.000 0.000 0.000
Pb 1.818 1.818 1.818
Pb 5.453 5.453 5.453
O 3.635 3.635 3.635

=====

Record 10
11
Lattice="3.889 -6.724 0.000 3.889 6.724 0.000 -2.644 0.000 9.186" Properties=species:S:1:pos:R:3 comment="Cs2Np2PaTe6, relaxed, DFT PBE-GGA" formation_energy_uncorrected_ev_per_atom=-0.893 total_energy_ev_per_atom=-5.978 spacegroup=C2/m pbc="T T T"
Cs 3.889 4.465 0.000
Cs 3.889 -4.465 0.000
Np 2.567 2.252 4.593
Np 2.567 -2.252 4.593
Pa -1.322 0.000 4.593
Te -0.044 2.181 6.341
Te 1.227 0.000 2.860
Te -0.044 -2.181 6.341
Te 5.179 2.181 2.845
Te 3.908 0.000 6.326
Te 5.179 -2.181 2.845

=====

Record 11
12
Lattice="3.684 -6.382 0.000 3.684 6.382 0.000 -2.457 0.000 6.951" Properties=species:S:1:pos:R:3 comment="NdTh5As6, relaxed, DFT PBE-GGA" total_energy_ev_per_atom=-7.236 spacegroup=C2/m delta_e_f_mev_per_atom=-1422 pbc="T T T"
Nd 0.000 0.000 0.000
Th 2.456 4.269 3.475
Th 3.684 2.124 0.000
Th 2.456 0.000 3.475
Th 3.684 -2.124 0.000
Th 2.456 -4.269 3.475
As 1.233 2.137 1.744
As 0.009 0.000 5.211
As 1.233 -2.137 1.744
As 3.678 2.137 5.207
As 4.902 0.000 1.739
As 3.678 -2.137 5.207

=====

Record 12
12
Lattice="3.731 -6.462 0.000 3.731 6.462 0.000 -2.492 0.000 7.101" Properties=species:S:1:pos:R:3 comment="Tm5PuTe6, relaxed, DFT PBE-GGA" formation_energy_uncorrected_ev_per_atom=-1.173 total_energy_ev_per_atom=-5.802 spacegroup=C2/m pbc="T T T"
Tm 0.000 0.000 0.000
Tm 2.485 4.285 3.550
Tm 3.731 2.102 0.000
Tm 3.731 -2.102 0.000
Tm 2.485 -4.285 3.550
Pu 2.485 0.000 3.550
Te 1.216 2.194 1.738
Te -0.057 0.000 5.320
Te 1.216 -2.194 1.738
Te 3.754 2.194 5.363
Te 5.027 0.000 1.780
Te 3.754 -2.194 5.363

=====

- Which formula does entry 2 have?
  YGeSbI2

=====

- Which formula does entry 10 have?
  Cs2Np2PaTe6